Material: Pa2Mn3Co
Method: DFT, PBE
State: optimized geometry

Cell and atoms, written as CIF:
```
data_Pa2Mn3Co
_chemical_formula_sum 'Pa6 Mn9 Co3'
_cell_length_a 5.0765
_cell_length_b 5.0765
_cell_length_c 12.4107
_cell_angle_alpha 90.00
_cell_angle_beta 90.00
_cell_angle_gamma 120.00
_space_group_name_H-M_alt 'R -3 m'
_space_group_IT_number 166
_space_group_name_Hall '-R 3 2"'
loop_
_atom_site_label
_atom_site_fract_x
_atom_site_fract_y
_atom_site_fract_z
Pa1 0.0000 0.0000 0.1244
Mn1 0.0000 0.5000 0.0000
Co1 0.0000 0.0000 0.5000
```

Computed properties:
calculated total energy	-9.099	eV per atom
DOS at the Fermi energy	8.3	states/eV/f.u.
energy relative to the elements	-164	meV per atom
mass density	12.34	g cm⁻³
total magnetic moment	0.858	μB per atom